Entry 1:
A geometry-optimized HfTi4BiH structure, computed with PBE-GGA.

Geometry as extended XYZ:
```
14
Lattice="5.8713 0.0000 0.0000 0.0000 5.8387 0.0000 -2.9356 0.0000 7.2038" Properties=species:S:1:pos:R:3 pbc="T T T"
Ti 2.9356 1.4597 1.5360
Hf 2.9356 4.3790 5.7681
H 0.0000 4.3790 3.6397
Ti 2.9356 1.4597 5.6255
Bi 2.9356 4.3790 1.4342
Ti 0.0000 4.3790 5.6678
Ti 1.4678 2.9194 3.6019
H 2.9356 1.4597 3.5642
Ti -1.4678 0.0000 3.6019
Bi 0.0000 1.4597 5.7696
Ti 0.0000 4.3790 1.5783
Ti -1.4678 2.9194 3.6019
Ti 1.4678 0.0000 3.6019
Hf 0.0000 1.4597 1.4358
```

***

Entry 2:
A geometry-optimized HfTlBiH2 structure, computed with PBE-GGA.

Geometry as extended XYZ:
```
5
Lattice="4.0763 0.0000 0.0000 0.0000 4.0763 0.0000 0.0000 0.0000 7.0512" Properties=species:S:1:pos:R:3 pbc="T T T"
H 2.0381 0.0000 0.0000
H 0.0000 2.0381 0.0000
Tl 0.0000 0.0000 0.0000
Hf 2.0381 2.0381 3.5256
Bi 0.0000 0.0000 3.5256
```

***

Entry 3:
A geometry-optimized Y2HfBiH structure, computed with PBE-GGA.

Geometry as extended XYZ:
```
5
Lattice="5.9011 0.0000 0.0000 0.0000 5.4253 0.0000 0.0000 0.0000 5.9011" Properties=species:S:1:pos:R:3 pbc="T T T"
Y 0.0000 0.0000 2.9505
Bi 0.0000 0.0000 0.0000
Hf 0.0000 2.7126 0.0000
H 2.9505 2.7126 2.9505
Y 2.9505 0.0000 0.0000
```

***

Entry 4:
A geometry-optimized HfZr4BiH structure, computed with PBE-GGA.

Geometry as extended XYZ:
```
14
Lattice="6.0676 0.0000 0.0000 0.0000 6.0556 0.0000 -3.0338 0.0000 7.9346" Properties=species:S:1:pos:R:3 pbc="T T T"
Hf 0.0000 1.5139 1.6758
H 3.0338 1.5139 3.4267
Zr 1.5169 3.0278 3.9673
Zr 3.0338 1.5139 6.6375
Hf 3.0338 4.5417 6.2588
Zr 0.0000 4.5417 1.2972
Zr -1.5169 3.0278 3.9673
Bi 3.0338 4.5417 1.7084
H 0.0000 4.5417 4.5079
Zr 1.5169 0.0000 3.9673
Zr -1.5169 0.0000 3.9673
Bi 0.0000 1.5139 6.2262
Zr 0.0000 4.5417 6.6317
Zr 3.0338 1.5139 1.3029
```

***

Entry 5:
A geometry-optimized Hf7ZrBi2H2 structure, computed with PBE-GGA.

Geometry as extended XYZ:
```
12
Lattice="-1.8290 3.5839 -1.6626 -1.5199 -2.3072 -3.3646 -11.5860 -1.9420 4.6170" Properties=species:S:1:pos:R:3 pbc="T T T"
H -3.4679 0.2286 -1.4212
Zr 0.0000 0.0000 0.0000
Hf -1.6745 0.6383 -2.5136
Hf -4.3839 -0.9562 -3.0091
Hf -9.0688 -0.3538 -0.4229
Hf -5.8661 -0.3116 0.0127
Hf -10.5510 0.2908 2.5990
Hf -10.3968 -2.6468 1.7503
Bi -7.7378 -1.0552 2.2467
Bi -7.1972 0.3898 -2.6568
Hf -4.5381 1.9814 -2.1604
H -11.4671 -0.8940 1.0111
```

***

Entry 6:
A geometry-optimized Hf2ZrBiH structure, computed with PBE-GGA.

Geometry as extended XYZ:
```
5
Lattice="-1.2529 3.8574 1.9512 -3.5659 0.2261 -2.7367 -2.4482 -2.3121 2.9989" Properties=species:S:1:pos:R:3 pbc="T T T"
Hf -0.6264 1.9287 0.9756
Bi -3.6334 0.8857 1.1066
Zr -1.2241 -1.1560 1.4994
Hf -1.7829 0.1131 -1.3684
H 0.0000 0.0000 0.0000
```

***

One value per record, in order, for total moment: 0.00, 0.22, 0.71, 0.00, 0.00, 0.00 μB/atom.
One value per record, in order, for uncorrected energy: -6.95, -3.94, -4.78, -7.41, -7.84, -7.33 eV per atom.